[1]
# GaSb2TeW

A geometry-optimized GaSb2TeW structure (PBE-GGA, Alexandria via LeMat-Bulk).

Unit cell a=5.1550 b=5.1550 c=5.2747 alpha=90.00 beta=90.00 gamma=90.00
Fractional coordinates of all 5 atoms:
Ga 0.0000 0.0000 0.0000
W 0.5000 0.5000 0.5000
Te 0.0000 0.0000 0.5000
Sb 0.0000 0.5000 0.0000
Sb 0.5000 0.0000 0.0000

Density of states at the Fermi level = 0.685 states/eV per atom
Energy relative to the elements, uncorrected = 702 kJ/mol of formula units
Mass density = 7.400 Mg/m³

***

[2]
# ZnNi3Sn

A geometry-optimized ZnNi3Sn structure (PBE-GGA, Alexandria via LeMat-Bulk).

Unit cell a=4.5882 b=6.0272 c=6.0272 alpha=120.00 beta=90.00 gamma=90.00
Fractional coordinates of all 10 atoms:
Ni 0.7500 0.1995 0.3987
Ni 0.7500 0.1994 0.8006
Ni 0.2500 0.3987 0.1995
Ni 0.7500 0.6013 0.8005
Ni 0.2500 0.8006 0.1994
Ni 0.2500 0.8005 0.6013
Zn 0.0000 0.0000 0.0000
Zn 0.5000 0.0000 0.0000
Sn 0.2500 0.3335 0.6665
Sn 0.7500 0.6665 0.3335

Density of states at the Fermi level = 0.593 states/eV per atom
Energy of formation from the pure elements = 0.098 eV per atom
Mass density = 8.287 Mg/m³

***

[3]
# Nd2Al3Zn4Au

A geometry-optimized Nd2Al3Zn4Au structure (PBE-GGA, Alexandria via LeMat-Bulk).

Unit cell a=4.2862 b=4.2862 c=10.7516 alpha=90.00 beta=90.00 gamma=90.00
Fractional coordinates of all 10 atoms:
Nd 0.0000 0.5000 0.7543
Nd 0.5000 0.0000 0.2457
Zn 0.5000 0.5000 0.0000
Zn 0.0000 0.5000 0.3607
Zn 0.5000 0.0000 0.6393
Zn 0.0000 0.0000 0.0000
Al 0.0000 0.0000 0.5000
Al 0.5000 0.0000 0.8689
Al 0.0000 0.5000 0.1311
Au 0.5000 0.5000 0.5000

Density of states at the Fermi level = 0.533 states/eV per atom
Energy of formation from the pure elements = -0.425 eV per atom
Mass density = 6.961 Mg/m³

***

[4]
# BaBi3P

A geometry-optimized BaBi3P structure (PBE-GGA, Alexandria via LeMat-Bulk).

Unit cell a=5.5814 b=5.5814 c=5.5814 alpha=90.00 beta=90.00 gamma=90.00
Fractional coordinates of all 5 atoms:
Bi 0.5000 0.0000 0.0000
Bi 0.0000 0.0000 0.5000
Bi 0.0000 0.5000 0.0000
Ba 0.5000 0.5000 0.5000
P 0.0000 0.0000 0.0000

Density of states at the Fermi level = 1.071 states/eV per atom
Energy of formation from the pure elements = -0.078 eV per atom
Mass density = 7.595 Mg/m³

***

[5]
# CoTePt3

A geometry-optimized CoTePt3 structure (PBE-GGA, Alexandria via LeMat-Bulk).

Unit cell a=4.6197 b=4.6197 c=4.6197 alpha=90.00 beta=90.00 gamma=90.00
Fractional coordinates of all 5 atoms:
Co 0.0000 0.0000 0.0000
Pt 0.0000 0.5000 0.0000
Pt 0.0000 0.0000 0.5000
Pt 0.5000 0.0000 0.0000
Te 0.5000 0.5000 0.5000

Density of states at the Fermi level = 1.128 states/eV per atom
Energy relative to the elements, uncorrected = 372 kJ/mol of formula units
Mass density = 12.999 Mg/m³

***

[6]
# Tb2NdErN4

A geometry-optimized Tb2NdErN4 structure (PBE-GGA, Alexandria via LeMat-Bulk).

Unit cell a=3.5222 b=6.1005 c=6.0982 alpha=109.42 beta=90.00 gamma=90.00
Fractional coordinates of all 8 atoms:
Nd 0.5000 0.5000 0.0000
Tb 0.0000 0.5000 0.5000
Tb 0.5000 0.0000 0.5000
Er 0.0000 0.0000 0.0000
N 0.0000 0.2420 0.7449
N 0.5000 0.7558 0.7495
N 0.5000 0.2442 0.2505
N 0.0000 0.7580 0.2551

Density of states at the Fermi level = 0.032 states/eV per atom
Energy relative to the elements, uncorrected = -1228 kJ/mol of formula units
Mass density = 9.210 Mg/m³

***

[7]
# TiNb3Cl

A geometry-optimized TiNb3Cl structure (PBE-GGA, Alexandria via LeMat-Bulk).

Unit cell a=4.8083 b=4.8083 c=4.8083 alpha=90.00 beta=90.00 gamma=90.00
Fractional coordinates of all 5 atoms:
Nb 0.0000 0.0000 0.5000
Nb 0.5000 0.0000 0.0000
Nb 0.0000 0.5000 0.0000
Ti 0.0000 0.0000 0.0000
Cl 0.5000 0.5000 0.5000

Density of states at the Fermi level = 1.127 states/eV per atom
Energy relative to the elements, uncorrected = 679 kJ/mol of formula units
Mass density = 5.408 Mg/m³

***

[8]
# MgZrAlIn

A geometry-optimized MgZrAlIn structure (PBE-GGA, Alexandria via LeMat-Bulk).

Unit cell a=4.2177 b=4.3022 c=4.4327 alpha=90.00 beta=90.00 gamma=90.00
Fractional coordinates of all 4 atoms:
Al 0.5000 0.0000 0.5000
Zr 0.0000 0.5000 0.5000
In 0.5000 0.5000 0.0000
Mg 0.0000 0.0000 0.0000

Density of states at the Fermi level = 0.294 states/eV per atom
Energy of formation from the pure elements = -0.306 eV per atom
Mass density = 5.313 Mg/m³

***

[9]
# Ti3CdI

A geometry-optimized Ti3CdI structure (PBE-GGA, Alexandria via LeMat-Bulk).

Unit cell a=4.9906 b=4.9906 c=4.9906 alpha=90.00 beta=90.00 gamma=90.00
Fractional coordinates of all 5 atoms:
Cd 0.5000 0.5000 0.5000
I 0.0000 0.0000 0.0000
Ti 0.0000 0.0000 0.5000
Ti 0.5000 0.0000 0.0000
Ti 0.0000 0.5000 0.0000

Density of states at the Fermi level = 1.577 states/eV per atom
Energy relative to the elements, uncorrected = 441 kJ/mol of formula units
Mass density = 5.116 Mg/m³

***

[10]
# Dy3TlRu

A geometry-optimized Dy3TlRu structure (PBE-GGA, Alexandria via LeMat-Bulk).

Unit cell a=5.4766 b=6.6574 c=8.9036 alpha=111.21 beta=90.00 gamma=114.29
Fractional coordinates of all 10 atoms:
Tl 0.3811 0.7622 0.5309
Tl 0.6189 0.2378 0.4691
Dy 0.3951 0.7901 0.1069
Dy 0.6049 0.2099 0.8931
Dy 0.1702 0.3403 0.6726
Dy 0.1012 0.2024 0.2234
Dy 0.8988 0.7976 0.7766
Dy 0.8298 0.6597 0.3274
Ru 0.8503 0.7007 0.0434
Ru 0.1497 0.2993 0.9566

Density of states at the Fermi level = 0.691 states/eV per atom
Energy of formation from the pure elements = -0.279 eV per atom
Mass density = 9.696 Mg/m³

***

[11]
# LiLa2NdTe5

A geometry-optimized LiLa2NdTe5 structure (PBE-GGA, Alexandria via LeMat-Bulk).

Unit cell a=4.5169 b=9.7841 c=13.4013 alpha=90.00 beta=90.00 gamma=103.35
Fractional coordinates of all 18 atoms:
Te 0.6347 0.2694 0.4989
Te 0.4987 0.9975 0.7798
Te 0.5013 0.0025 0.2798
Te 0.9540 0.9079 0.5706
Te 0.3653 0.7306 0.9989
Te 0.7144 0.4287 0.1718
Te 0.2856 0.5713 0.6718
Te 0.0460 0.0921 0.0706
Te 0.6868 0.3735 0.8434
Te 0.3132 0.6265 0.3434
La 0.1236 0.2472 0.3037
La 0.8764 0.7528 0.8037
La 0.8934 0.7868 0.1842
La 0.1066 0.2132 0.6842
Nd 0.1992 0.3985 0.0079
Nd 0.8008 0.6015 0.5079
Li 0.4454 0.8908 0.4635
Li 0.5546 0.1092 0.9635

Energy relative to the elements, uncorrected = -1238 kJ/mol of formula units
Mass density = 6.149 Mg/m³

***

[12]
# La3AlPd

A geometry-optimized La3AlPd structure (PBE-GGA, Alexandria via LeMat-Bulk).

Unit cell a=5.6086 b=5.6086 c=5.6086 alpha=90.00 beta=90.00 gamma=90.00
Fractional coordinates of all 5 atoms:
La 0.0000 0.0000 0.5000
La 0.5000 0.0000 0.0000
La 0.0000 0.5000 0.0000
Pd 0.0000 0.0000 0.0000
Al 0.5000 0.5000 0.5000

Density of states at the Fermi level = 1.621 states/eV per atom
Energy of formation from the pure elements = -0.098 eV per atom
Mass density = 5.178 Mg/m³

***

[13]
# KTiIn

A geometry-optimized KTiIn structure (PBE-GGA, Alexandria via LeMat-Bulk).

Unit cell a=5.4279 b=5.4279 c=6.0564 alpha=90.00 beta=90.00 gamma=120.00
Fractional coordinates of all 6 atoms:
K 0.0000 0.0000 0.0000
K 0.0000 0.0000 0.5000
In 0.6667 0.3333 0.2500
In 0.3333 0.6667 0.7500
Ti 0.6667 0.3333 0.7500
Ti 0.3333 0.6667 0.2500

Density of states at the Fermi level = 0.531 states/eV per atom
Energy of formation from the pure elements = 0.567 eV per atom
Mass density = 4.337 Mg/m³

***

[14]
# TbSmHo

A geometry-optimized TbSmHo structure (PBE-GGA, Alexandria via LeMat-Bulk).

Unit cell a=3.5704 b=3.5702 c=8.7247 alpha=90.00 beta=90.00 gamma=120.00
Fractional coordinates of all 3 atoms:
Sm 0.4578 0.1047 0.1131
Tb 0.1242 0.4387 0.4505
Ho 0.7909 0.7722 0.7790

Density of states at the Fermi level = 1.370 states/eV per atom
Energy of formation from the pure elements = 0.018 eV per atom
Mass density = 8.176 Mg/m³

***

[15]
# TaSeCl3

A geometry-optimized TaSeCl3 structure (PBE-GGA, Alexandria via LeMat-Bulk).

Unit cell a=6.9917 b=7.0867 c=8.5677 alpha=90.04 beta=89.99 gamma=90.02
Fractional coordinates of all 10 atoms:
Cl 0.3973 0.9898 0.4835
Cl 0.3957 0.9891 0.9195
Cl 0.9503 0.8700 0.7001
Cl 0.8960 0.3626 0.9828
Cl 0.4499 0.4839 0.2002
Cl 0.8952 0.3633 0.4188
Ta 0.7740 0.4993 0.2006
Ta 0.2744 0.8534 0.7010
Se 0.3612 0.5421 0.7006
Se 0.8622 0.8103 0.2005

Density of states at the Fermi level = 0.000 states/eV per atom
Energy relative to the elements, uncorrected = -534 kJ/mol of formula units
Mass density = 2.865 Mg/m³

***

[16]
# FeTc2Hg

A geometry-optimized FeTc2Hg structure (PBE-GGA, Alexandria via LeMat-Bulk).

Unit cell a=4.9041 b=4.9041 c=4.7495 alpha=77.76 beta=77.76 gamma=33.37
Fractional coordinates of all 4 atoms:
Tc 0.4833 0.4833 0.5315
Tc 0.0167 0.0167 0.9685
Hg 0.2500 0.2500 0.2500
Fe 0.7500 0.7500 0.7500

Density of states at the Fermi level = 0.989 states/eV per atom
Energy of formation from the pure elements = 0.441 eV per atom
Mass density = 12.262 Mg/m³

***

[17]
# SrPrAl2

A geometry-optimized SrPrAl2 structure (PBE-GGA, Alexandria via LeMat-Bulk).

Unit cell a=5.4296 b=5.4296 c=5.4296 alpha=60.00 beta=60.00 gamma=60.00
Fractional coordinates of all 4 atoms:
Al 0.2500 0.2500 0.2500
Al 0.7500 0.7500 0.7500
Sr 0.0000 0.0000 0.0000
Pr 0.5000 0.5000 0.5000

Density of states at the Fermi level = 0.827 states/eV per atom
Energy of formation from the pure elements = -0.168 eV per atom
Mass density = 4.144 Mg/m³

***

[18]
# LaVN3

A geometry-optimized LaVN3 structure (PBE-GGA, Alexandria via LeMat-Bulk).

Unit cell a=3.5504 b=4.0878 c=5.4294 alpha=93.13 beta=90.00 gamma=64.27
Fractional coordinates of all 5 atoms:
N 0.8450 0.3691 0.3288
N 0.4358 0.1875 0.8554
N 0.6635 0.7318 0.3019
La 0.1275 0.8040 0.6574
V 0.4439 0.1713 0.1844

Density of states at the Fermi level = 0.143 states/eV per atom
Energy relative to the elements, uncorrected = -389 kJ/mol of formula units
Mass density = 5.434 Mg/m³

***

[19]
# SrCuP

A geometry-optimized SrCuP structure (PBE-GGA, Alexandria via LeMat-Bulk).

Unit cell a=4.8814 b=4.8892 c=5.9832 alpha=90.00 beta=89.99 gamma=77.80
Fractional coordinates of all 6 atoms:
P 0.8218 0.7184 0.6680
P 0.2594 0.1573 0.1680
Cu 0.0408 0.9376 0.4180
Cu 0.0406 0.9375 0.9182
Sr 0.3935 0.2900 0.6679
Sr 0.6877 0.5859 0.1679

Density of states at the Fermi level = 0.000 states/eV per atom
Energy of formation from the pure elements = -0.666 eV per atom
Mass density = 4.334 Mg/m³

***

[20]
# HfAgHg2

A geometry-optimized HfAgHg2 structure (PBE-GGA, Alexandria via LeMat-Bulk).

Unit cell a=3.1843 b=3.1843 c=9.8112 alpha=80.66 beta=80.66 gamma=60.00
Fractional coordinates of all 4 atoms:
Hg 0.2514 0.2514 0.2457
Hg 0.0817 0.0817 0.7549
Hf 0.4998 0.4998 0.5006
Ag 0.6671 0.6671 0.9987

Density of states at the Fermi level = 0.638 states/eV per atom
Energy of formation from the pure elements = 0.068 eV per atom
Mass density = 13.490 Mg/m³

***

[21]
# Li3HfZr3S8

A geometry-optimized Li3HfZr3S8 structure (PBE-GGA, Alexandria via LeMat-Bulk).

Unit cell a=7.2339 b=7.2250 c=7.5516 alpha=118.46 beta=90.01 gamma=120.03
Fractional coordinates of all 15 atoms:
S 0.7505 0.5009 0.7516
S 0.2457 0.4914 0.7442
S 0.2495 0.4991 0.2484
S 0.7543 0.0018 0.2558
S 0.7526 0.9982 0.7442
S 0.7543 0.5086 0.2558
S 0.2474 0.0018 0.2558
S 0.2457 0.9982 0.7442
Zr 0.0000 0.5000 0.5000
Zr 0.5000 0.5000 0.5000
Zr 0.5000 0.0000 0.5000
Li 0.0000 0.5000 0.0000
Li 0.0000 0.0000 0.0000
Li 0.5000 0.5000 0.0000
Hf 0.0000 0.0000 0.5000

Density of states at the Fermi level = 0.366 states/eV per atom
Energy relative to the elements, uncorrected = -2239 kJ/mol of formula units
Mass density = 4.246 Mg/m³

***

[22]
# AgOs3

A geometry-optimized AgOs3 structure (PBE-GGA, Alexandria via LeMat-Bulk).

Unit cell a=4.4395 b=4.9068 c=5.5130 alpha=90.00 beta=90.00 gamma=90.00
Fractional coordinates of all 8 atoms:
Os 0.5000 0.1457 0.2373
Os 0.5000 0.1457 0.7627
Os 0.0000 0.8543 0.7373
Os 0.0000 0.8543 0.2627
Os 0.5000 0.6734 0.0000
Os 0.0000 0.3266 0.5000
Ag 0.5000 0.6426 0.5000
Ag 0.0000 0.3574 0.0000

Density of states at the Fermi level = 0.675 states/eV per atom
Energy of formation from the pure elements = 0.661 eV per atom
Mass density = 18.765 Mg/m³

***

[23]
# LaIrPb2F

A geometry-optimized LaIrPb2F structure (PBE-GGA, Alexandria via LeMat-Bulk).

Unit cell a=6.1714 b=4.3164 c=6.1714 alpha=90.00 beta=90.00 gamma=90.00
Fractional coordinates of all 5 atoms:
F 0.0000 0.5000 0.0000
Pb 0.0000 0.0000 0.5000
Pb 0.5000 0.0000 0.0000
La 0.0000 0.0000 0.0000
Ir 0.5000 0.5000 0.5000

Density of states at the Fermi level = 1.133 states/eV per atom
Energy relative to the elements, uncorrected = 71 kJ/mol of formula units
Mass density = 7.722 Mg/m³

***

[24]
# VPd2

A geometry-optimized VPd2 structure (PBE-GGA, Alexandria via LeMat-Bulk).

Unit cell a=4.7796 b=4.7796 c=4.7796 alpha=146.61 beta=133.10 gamma=58.79
Fractional coordinates of all 3 atoms:
Pd 0.3379 0.3379 0.0000
Pd 0.6621 0.6621 0.0000
V 0.0000 0.0000 0.0000

Density of states at the Fermi level = 0.833 states/eV per atom
Energy of formation from the pure elements = -0.274 eV per atom
Mass density = 10.068 Mg/m³

***

[25]
# Ag3Te2Au

A geometry-optimized Ag3Te2Au structure (PBE-GGA, Alexandria via LeMat-Bulk).

Unit cell a=9.1021 b=9.1021 c=9.1021 alpha=109.47 beta=109.47 gamma=109.47
Fractional coordinates of all 24 atoms:
Te 0.0000 0.5000 0.5427
Te 0.0427 0.0000 0.0000
Te 0.4573 0.4573 0.9573
Te 0.5000 0.0427 0.5000
Te 0.0000 0.5000 0.9573
Te 0.4573 0.0000 0.0000
Te 0.5000 0.4573 0.5000
Te 0.0427 0.0427 0.5427
Ag 0.8603 0.7500 0.6103
Ag 0.3897 0.7500 0.1397
Ag 0.7500 0.1103 0.3603
Ag 0.1103 0.8603 0.2500
Ag 0.8603 0.1103 0.7500
Ag 0.2500 0.8603 0.6103
Ag 0.2500 0.3897 0.1397
Ag 0.1103 0.2500 0.3603
Ag 0.6397 0.2500 0.8897
Ag 0.6397 0.3897 0.2500
Ag 0.7500 0.6397 0.8897
Ag 0.3897 0.6397 0.7500
Au 0.7500 0.0000 0.0000
Au 0.0000 0.5000 0.2500
Au 0.7500 0.7500 0.2500
Au 0.5000 0.7500 0.5000

Density of states at the Fermi level = 0.226 states/eV per atom
Energy relative to the elements, uncorrected = -33 kJ/mol of formula units
Mass density = 8.876 Mg/m³